[1]
PBE-GGA TaAs3P, optimized geometry; energy relative to the elements = 0.7606 eV per atom; size of the total moment = 1.40 μB per cell; space-group type = No. 221; offset from the most stable computed form = 0.0 meV/atom
1.0
4.9884 0.0000 0.0000
0.0000 4.9884 0.0000
0.0000 0.0000 4.9884
Ta As P
1 3 1
Direct
0.0000 0.0000 0.0000 Ta
0.0000 0.0000 0.5000 As
0.0000 0.5000 0.0000 As
0.5000 0.0000 0.0000 As
0.5000 0.5000 0.5000 P

[2]
PBE-GGA ZnCd, optimized geometry; energy relative to the elements = 0.0956 eV per atom; size of the total moment = 0.00 μB per cell; space-group type = No. 194
1.0
4.3924 0.0000 0.0000
-2.1962 3.8040 0.0000
0.0000 0.0000 5.0651
Zn Cd
2 2
Direct
0.0000 0.0000 0.0000 Zn
0.0000 0.0000 0.5000 Zn
0.3333 0.6667 0.2500 Cd
0.6667 0.3333 0.7500 Cd

[3]
PBE-GGA LaY3Ru, optimized geometry; energy relative to the elements = -0.0112 eV per atom; size of the total moment = 0.00 μB per cell; space-group type = No. 62; offset from the most stable computed form = 175.1 meV/atom
1.0
6.5992 0.0000 0.0000
0.0000 8.7782 0.0000
0.0000 0.0000 10.4320
La Y Ru
4 12 4
Direct
0.0000 0.0000 0.0000 La
0.0000 0.5000 0.0000 La
0.5000 0.0000 0.5000 La
0.5000 0.5000 0.5000 La
0.0362 0.0636 0.3470 Y
0.0362 0.4364 0.3470 Y
0.2200 0.2500 0.7088 Y
0.2800 0.7500 0.2088 Y
0.4638 0.5636 0.8470 Y
0.4638 0.9364 0.8470 Y
0.5362 0.0636 0.1530 Y
0.5362 0.4364 0.1530 Y
0.7200 0.2500 0.7912 Y
0.7800 0.7500 0.2912 Y
0.9638 0.5636 0.6530 Y
0.9638 0.9364 0.6530 Y
0.1415 0.7500 0.4542 Ru
0.3585 0.2500 0.9542 Ru
0.6415 0.7500 0.0458 Ru
0.8585 0.2500 0.5458 Ru

[4]
PBE-GGA Nd2DyPdO5, optimized geometry; raw total energy = -7.2925 eV per atom; size of the total moment = 2.00 μB per cell; space-group type = No. 127
1.0
6.5952 0.0000 0.0000
0.0000 6.5952 0.0000
0.0000 0.0000 5.9238
Nd Dy Pd O
4 2 2 10
Direct
0.1628 0.3372 0.0000 Nd
0.3372 0.8372 0.0000 Nd
0.6628 0.1628 0.0000 Nd
0.8372 0.6628 0.0000 Nd
0.0000 0.0000 0.5000 Dy
0.5000 0.5000 0.5000 Dy
0.0000 0.5000 0.5000 Pd
0.5000 0.0000 0.5000 Pd
0.0000 0.0000 0.0000 O
0.1694 0.6694 0.2648 O
0.1694 0.6694 0.7352 O
0.3306 0.1694 0.2648 O
0.3306 0.1694 0.7352 O
0.5000 0.5000 0.0000 O
0.6694 0.8306 0.2648 O
0.6694 0.8306 0.7352 O
0.8306 0.3306 0.2648 O
0.8306 0.3306 0.7352 O

[5]
PBE-GGA Ac2TbH12Rh3, optimized geometry; raw total energy = -4.5621 eV per atom; size of the total moment = 0.00 μB per cell; space-group type = No. 166
1.0
3.3965 1.9610 4.8421
-3.3965 1.9610 4.8421
0.0000 -3.9220 4.8421
Ac Tb H Rh
2 1 12 3
Direct
0.1174 0.1174 0.1174 Ac
0.8826 0.8826 0.8826 Ac
0.5000 0.5000 0.5000 Tb
0.0986 0.6260 0.6260 H
0.2145 0.2145 0.6018 H
0.2145 0.6018 0.2145 H
0.3740 0.3740 0.9014 H
0.3740 0.9014 0.3740 H
0.3982 0.7855 0.7855 H
0.6018 0.2145 0.2145 H
0.6260 0.0986 0.6260 H
0.6260 0.6260 0.0986 H
0.7855 0.3982 0.7855 H
0.7855 0.7855 0.3982 H
0.9014 0.3740 0.3740 H
0.0000 0.5000 0.5000 Rh
0.5000 0.0000 0.5000 Rh
0.5000 0.5000 0.0000 Rh

[6]
PBE-GGA TiZn2PbO, optimized geometry; raw total energy = -3.0141 eV per atom; size of the total moment = 0.42 μB per cell; space-group type = No. 123
1.0
5.2830 0.0000 0.0000
0.0000 5.2830 0.0000
0.0000 0.0000 4.2845
Ti Zn Pb O
1 2 1 1
Direct
0.0000 0.0000 0.0000 Ti
0.0000 0.5000 0.5000 Zn
0.5000 0.0000 0.5000 Zn
0.5000 0.5000 0.5000 Pb
0.5000 0.5000 0.0000 O

[7]
PBE-GGA URuC2, optimized geometry; energy relative to the elements = -0.0254 eV per atom; size of the total moment = 0.00 μB per cell; space-group type = No. 62; offset from the most stable computed form = 0.0 meV/atom
1.0
5.4855 0.0000 0.0000
0.0000 3.3011 0.0000
0.0000 0.0000 10.8607
U Ru C
4 4 8
Direct
0.0886 0.2500 0.1427 U
0.4114 0.7500 0.6427 U
0.5886 0.2500 0.3573 U
0.9114 0.7500 0.8573 U
0.0950 0.7500 0.4014 Ru
0.4050 0.2500 0.9014 Ru
0.5950 0.7500 0.0986 Ru
0.9050 0.2500 0.5986 Ru
0.1465 0.2500 0.7560 C
0.2382 0.2500 0.4913 C
0.2618 0.7500 0.9913 C
0.3535 0.7500 0.2560 C
0.6465 0.2500 0.7440 C
0.7382 0.2500 0.0087 C
0.7618 0.7500 0.5087 C
0.8535 0.7500 0.2440 C

[8]
PBE-GGA LiHfSc2, optimized geometry; energy relative to the elements = 0.0934 eV per atom; size of the total moment = 0.00 μB per cell; space-group type = No. 160; offset from the most stable computed form = 26.1 meV/atom
1.0
1.5944 0.9205 10.5810
-1.5944 0.9205 10.5810
0.0000 -1.8410 10.5810
Li Hf Sc
1 1 2
Direct
0.0000 0.0000 0.0000 Li
0.1662 0.1662 0.1662 Hf
0.5792 0.5792 0.5792 Sc
0.7533 0.7533 0.7533 Sc

[9]
PBE-GGA Ba2Na2P, optimized geometry; energy relative to the elements = -0.3802 eV per atom; size of the total moment = 0.00 μB per cell; space-group type = No. 141
1.0
-2.6901 2.6901 14.3092
2.6901 -2.6901 14.3092
2.6901 2.6901 -14.3092
Ba Na P
4 4 2
Direct
0.0704 0.3204 0.7500 Ba
0.3204 0.0704 0.2500 Ba
0.6796 0.9296 0.7500 Ba
0.9296 0.6796 0.2500 Ba
0.2038 0.4538 0.7500 Na
0.4538 0.2038 0.2500 Na
0.5462 0.7962 0.7500 Na
0.7962 0.5462 0.2500 Na
0.1250 0.8750 0.2500 P
0.8750 0.1250 0.7500 P

[10]
PBE-GGA KTiBr5, optimized geometry; size of the total moment = 0.00 μB per cell; space-group type = No. 44; offset from the most stable computed form = 0.0 meV/atom
1.0
-4.3254 5.2196 3.2955
4.3254 -5.2196 3.2955
4.3254 5.2196 -3.2955
K Ti Br
1 1 5
Direct
0.0000 0.0000 0.0000 K
0.4548 0.9548 0.5000 Ti
0.0800 0.7889 0.2911 Br
0.4388 0.2280 0.7892 Br
0.4388 0.6495 0.2108 Br
0.4979 0.7889 0.7089 Br
0.8137 0.3137 0.5000 Br

[11]
PBE-GGA OsPbAu, optimized geometry; energy relative to the elements = 0.9624 eV per atom; size of the total moment = 1.20 μB per cell; space-group type = No. 42; offset from the most stable computed form = 178.9 meV/atom
1.0
0.0000 2.5264 7.6391
1.5730 0.0000 7.6391
1.5730 2.5264 0.0000
Os Pb Au
1 1 1
Direct
0.0000 0.0000 0.0000 Os
0.3399 0.3399 0.6601 Pb
0.6498 0.6498 0.3502 Au

[12]
PBE-GGA CuNiOs, optimized geometry; energy relative to the elements = 0.1807 eV per atom; size of the total moment = 0.00 μB per cell; space-group type = No. 156; offset from the most stable computed form = 34.6 meV/atom
1.0
2.6391 0.0000 0.0000
-1.3196 2.2856 0.0000
0.0000 0.0000 6.3033
Cu Ni Os
1 1 1
Direct
0.0000 0.0000 0.0000 Cu
0.6667 0.3333 0.3238 Ni
0.3333 0.6667 0.6473 Os